1.
Below is an optimized crystal structure of TcAgAu2Cl, with properties calculated at the PBE-GGA level.

a = 5.0897 Å, b = 5.2346 Å, c = 5.0897 Å
α = 90.00°, β = 90.00°, γ = 90.00°
With the nearest neighbours (Å) after each atom.
Sites, in units of the cell vectors:
1 Au 0.0000 0.0000 0.5000  2 Ag 2.54
2 Au 0.5000 0.0000 0.0000  2 Ag 2.54
3 Tc 0.0000 0.5000 0.0000  2 Ag 2.62
4 Ag 0.0000 0.0000 0.0000  4 Au 2.54, 2 Tc 2.62
5 Cl 0.5000 0.5000 0.5000  4 Tc 3.60, 8 Au 3.65

## Properties
Formation energy without anion corrections (eV per atom): 1.22
E_tot (eV/atom): -3.10

2.
Below is an optimized crystal structure of TlAg2AuCl8, with properties calculated at the PBE-GGA level.

a = 7.3237 Å, b = 6.4240 Å, c = 7.8145 Å
α = 90.00°, β = 89.98°, γ = 94.10°
With the nearest neighbours (Å) after each atom.
Sites, in units of the cell vectors:
1 Tl 0.0000 0.0000 0.5000  6 Cl 2.92-3.08
2 Ag 0.4999 0.5000 0.7519  4 Cl 2.52-2.56
3 Ag 0.5001 0.5000 0.2481  4 Cl 2.52-2.56
4 Au 0.0000 0.0000 0.0000  4 Cl 2.34
5 Cl 0.1277 0.7818 0.1996  1 Au 2.34
6 Cl 0.6340 0.7098 0.9999  2 Ag 2.52
7 Cl 0.8719 0.2179 0.1997  1 Au 2.34
8 Cl 0.8723 0.2182 0.8004  1 Au 2.34
9 Cl 0.3660 0.2902 0.0001  2 Ag 2.52
10 Cl 0.1281 0.7821 0.8003  1 Au 2.34
11 Cl 0.6585 0.6922 0.5000  2 Ag 2.56
12 Cl 0.3415 0.3078 0.5000  2 Ag 2.56

## Properties
Formation energy without anion corrections (eV per atom): -0.40
E_tot (eV/atom): -2.58

3.
Below is an optimized crystal structure of TlAg2AuCl6, with properties calculated at the PBE-GGA level.

a = 6.8686 Å, b = 7.6585 Å, c = 7.4787 Å
α = 57.52°, β = 73.64°, γ = 58.28°
With the nearest neighbours (Å) after each atom.
Sites, in units of the cell vectors:
1 Tl 0.3073 0.3358 0.0043  6 Cl 2.60-2.77
2 Ag 0.6148 0.5873 0.4910  4 Cl 2.60-2.82
3 Ag 0.0243 0.8839 0.0667  4 Cl 2.61-2.76
4 Au 0.8237 0.8335 0.4921  2 Cl 2.30
5 Cl 0.5793 0.2227 0.2970  1 Au 2.30
6 Cl 0.3031 0.9281 0.1957  2 Ag 2.61-2.62, 1 Tl 2.66
7 Cl 0.9467 0.5207 0.1990  1 Tl 2.60, 2 Ag 2.70-2.72
8 Cl 0.3183 0.7330 0.7855  1 Tl 2.60, 2 Ag 2.76-2.82
9 Cl 0.6784 0.1741 0.7942  2 Ag 2.60-2.66, 1 Tl 2.65
10 Cl 0.0657 0.4425 0.6898  1 Au 2.30

## Properties
Formation energy without anion corrections (eV per atom): -0.47
E_tot (eV/atom): -2.72

4.
Below is an optimized crystal structure of Tl3Ag2AuCl9, with properties calculated at the PBE-GGA level.

a = 7.2537 Å, b = 7.2537 Å, c = 8.8855 Å
α = 90.00°, β = 90.00°, γ = 120.00°
With the nearest neighbours (Å) after each atom.
Sites, in units of the cell vectors:
1 Tl 0.3333 0.6667 0.7007  9 Cl 3.39-3.64
2 Tl 0.0000 0.0000 0.0000  12 Cl 3.63
3 Tl 0.6667 0.3333 0.2993  9 Cl 3.39-3.64
4 Ag 0.3333 0.6667 0.1716  6 Cl 2.59
5 Ag 0.6667 0.3333 0.8284  6 Cl 2.59
6 Au 0.0000 0.0000 0.5000  6 Cl 2.52
7 Cl 0.8366 0.1634 0.6635  1 Au 2.52, 1 Ag 2.59
8 Cl 0.8366 0.6731 0.6635  1 Au 2.52, 1 Ag 2.59
9 Cl 0.3269 0.1634 0.6635  1 Au 2.52, 1 Ag 2.59
10 Cl 0.6731 0.8366 0.3365  1 Au 2.52, 1 Ag 2.59
11 Cl 0.1634 0.3269 0.3365  1 Au 2.52, 1 Ag 2.59
12 Cl 0.1634 0.8366 0.3365  1 Au 2.52, 1 Ag 2.59
13 Cl 0.5000 0.0000 0.0000  2 Ag 2.59
14 Cl 0.0000 0.5000 0.0000  2 Ag 2.59
15 Cl 0.5000 0.5000 0.0000  2 Ag 2.59

## Properties
Formation energy without anion corrections (eV per atom): -0.62
E_tot (eV/atom): -2.80

5.
Below is an optimized crystal structure of ZnAgAuCl2, with properties calculated at the PBE-GGA level.

a = 4.8453 Å, b = 5.6233 Å, c = 4.8453 Å
α = 90.00°, β = 90.00°, γ = 90.00°
With the nearest neighbours (Å) after each atom.
Sites, in units of the cell vectors:
1 Zn 0.5000 0.5000 0.5000  4 Au 3.43, 8 Cl 3.71
2 Au 0.0000 0.5000 0.0000  2 Ag 2.81
3 Ag 0.0000 0.0000 0.0000  4 Cl 2.42
4 Cl 0.0000 0.0000 0.5000  2 Ag 2.42
5 Cl 0.5000 0.0000 0.0000  2 Ag 2.42

## Properties
Formation energy without anion corrections (eV per atom): 0.21
E_tot (eV/atom): -2.01

6.
Below is an optimized crystal structure of ZrAgAuCl2, with properties calculated at the PBE-GGA level.

a = 4.9242 Å, b = 4.9242 Å, c = 5.6393 Å
α = 90.00°, β = 90.00°, γ = 90.00°
With the nearest neighbours (Å) after each atom.
Sites, in units of the cell vectors:
1 Au 0.0000 0.0000 0.5000  2 Zr 2.82
2 Zr 0.0000 0.0000 0.0000  4 Cl 2.46
3 Ag 0.5000 0.5000 0.5000  4 Au 3.48, 8 Cl 3.74
4 Cl 0.0000 0.5000 0.0000  2 Zr 2.46
5 Cl 0.5000 0.0000 0.0000  2 Zr 2.46

## Properties
Formation energy without anion corrections (eV per atom): -0.33
E_tot (eV/atom): -4.01